Compound: Li2TlRe
Source: the Alexandria database
Functional: PBE
Structure: optimized geometry

Properties
final energy = -4.2006 eV per atom
energy above the lowest structure with this stoichiometry = 0.45 eV per formula unit
E_form = 460 meV/atom

CIF file:
```
data_Li2TlRe
_cell_length_a 2.933
_cell_length_b 4.787
_cell_length_c 4.805
_cell_angle_alpha 90.00
_cell_angle_beta 90.00
_cell_angle_gamma 90.00
_space_group_name_H-M_alt 'P m m m'
_space_group_IT_number 47
_space_group_name_Hall '-P 2 2'
loop_
_atom_site_label
_atom_site_fract_x
_atom_site_fract_y
_atom_site_fract_z
Li1 0.000 0.000 0.000
Li2 0.500 0.500 0.000
Tl1 0.000 0.500 0.500
Re1 0.500 0.000 0.500
```